No. 1
Material: PmEu2Ir
Method: DFT, PBE
State: relaxed

Summary:
magnetization	13.97	μB/f.u.

Structure (POSCAR):
```
PmEu2Ir
1.0
-1.835 0.536 -3.311
-3.536 -1.376 -0.470
-5.825 8.822 2.449
Eu Ir Pm
2 1 1
direct
0.111 0.111 0.667
0.889 0.889 0.333
0.500 0.500 0.500
0.000 0.000 0.000
```



No. 2
Material: NaIr2Au
Method: DFT, PBE
State: relaxed

Summary:
E above lowest polymorph	0.1447	eV per atom
magnetization	0.00	μB/f.u.

Structure (POSCAR):
```
NaIr2Au
1.0
2.778 -1.953 2.962
1.594 2.363 3.490
-1.433 -0.904 4.175
Na Ir Au
1 2 1
direct
0.000 0.000 0.000
0.250 0.250 0.250
0.750 0.750 0.750
0.500 0.500 0.500
```



No. 3
Material: NaCd2Pb2
Method: DFT, PBE
State: relaxed

Summary:
E above lowest polymorph	0.0084	eV per atom
magnetization	0.00	μB/f.u.

Structure (POSCAR):
```
NaCd2Pb2
1.0
-1.682 8.271 2.017
-7.390 -2.439 3.841
1.853 -0.426 3.294
Pb Na Cd
4 2 4
direct
0.177 0.677 0.500
0.677 0.823 0.500
0.823 0.323 0.500
0.323 0.177 0.500
0.000 0.000 0.000
0.500 0.500 0.000
0.377 0.877 0.000
0.877 0.623 0.000
0.623 0.123 0.000
0.123 0.377 0.000
```



We obtain formation energy from the elements values of 0.0943; 0.7874; -0.0165 eV/atom for the records listed above, in that order.